Record 1
Computed, not measured: Sc6Tl2HO after structural relaxation at the PBE level of DFT.

POSCAR file:
```
Sc6Tl2HO
1.0
6.415 0.000 0.000
0.000 6.415 0.000
0.000 0.000 8.855
Sc O Tl H
12 2 4 2
Direct
0.744 0.006 0.000 Sc
0.244 0.994 0.500 Sc
0.756 0.994 0.500 Sc
0.256 0.494 0.000 Sc
0.500 0.250 0.258 Sc
0.000 0.750 0.758 Sc
0.244 0.506 0.500 Sc
0.756 0.506 0.500 Sc
0.500 0.250 0.742 Sc
0.000 0.750 0.242 Sc
0.744 0.494 0.000 Sc
0.256 0.006 0.000 Sc
0.500 0.250 0.000 O
0.000 0.750 0.500 O
0.500 0.750 0.250 Tl
0.000 0.250 0.750 Tl
0.500 0.750 0.750 Tl
0.000 0.250 0.250 Tl
0.500 0.250 0.500 H
0.000 0.750 0.000 H
```

Output
E_tot = -0.4372 Ry per atom
Symmetry = I4/mmm


Record 2
Computed, not measured: TlTeAs2 after structural relaxation at the PBE level of DFT.

POSCAR file:
```
TlTeAs2
1.0
6.004 0.000 0.000
0.000 6.004 0.000
3.002 3.002 7.495
As Te Tl
4 2 2
Direct
0.139 0.625 0.250 As
0.611 0.125 0.250 As
0.375 0.389 0.750 As
0.875 0.861 0.750 As
0.500 0.500 0.000 Te
0.250 0.750 0.500 Te
0.750 0.250 0.500 Tl
0.000 0.000 0.000 Tl
```

Output
Symmetry = I-42d
E above lowest polymorph = 289.1 meV/atom
Uncorrected formation energy = 0.303 eV/atom


Record 3
Computed, not measured: Nd2Al4NiAu3 after structural relaxation at the PBE level of DFT.

POSCAR file:
```
Nd2Al4NiAu3
1.0
-4.201 0.210 1.118
-1.106 -1.764 -3.823
0.647 -9.575 4.230
Nd Al Au Ni
2 4 3 1
Direct
0.500 0.000 0.258 Nd
0.000 0.500 0.742 Nd
0.500 0.500 0.000 Al
0.500 0.000 0.620 Al
0.000 0.500 0.380 Al
0.000 0.000 0.000 Al
0.000 0.500 0.137 Au
0.500 0.000 0.863 Au
0.000 0.000 0.500 Au
0.500 0.500 0.500 Ni
```

Output
Symmetry = P-4m2
Energy of formation = -0.687 eV per atom


Record 4
Computed, not measured: HoCdPd14 after structural relaxation at the PBE level of DFT.

POSCAR file:
```
HoCdPd14
1.0
5.679 -0.012 0.000
0.012 5.679 0.000
0.000 0.000 8.002
Pd Ho Cd
14 1 1
Direct
0.375 0.875 0.000 Pd
0.126 0.126 0.244 Pd
0.624 0.624 0.756 Pd
0.625 0.125 0.244 Pd
0.875 0.875 0.000 Pd
0.126 0.126 0.756 Pd
0.875 0.375 0.500 Pd
0.625 0.125 0.756 Pd
0.125 0.625 0.756 Pd
0.375 0.875 0.500 Pd
0.624 0.624 0.244 Pd
0.125 0.625 0.244 Pd
0.875 0.375 0.000 Pd
0.375 0.375 0.000 Pd
0.875 0.875 0.500 Ho
0.375 0.375 0.500 Cd
```

Output
Symmetry = P4/mmm
Energy of formation = -0.268 eV per atom


Record 5
Computed, not measured: AgTe3I after structural relaxation at the PBE level of DFT.

POSCAR file:
```
AgTe3I
1.0
-3.020 0.185 -5.017
-4.349 -3.020 2.507
-2.507 5.017 1.694
Ag I Te
1 1 3
Direct
0.500 0.500 0.500 Ag
0.000 0.000 0.000 I
0.000 0.000 0.500 Te
0.500 0.000 0.000 Te
0.000 0.500 0.000 Te
```

Output
Symmetry = Pm-3m
E above lowest polymorph = 994.7 meV/atom
Uncorrected formation energy = 0.909 eV/atom


Record 6
Computed, not measured: Sr2La3PaN6 after structural relaxation at the PBE level of DFT.

POSCAR file:
```
Sr2La3PaN6
1.0
6.472 -0.011 0.004
-3.244 5.600 0.004
-1.073 -1.858 6.031
N Sr La Pa
6 2 3 1
Direct
0.791 0.791 0.251 N
0.081 0.364 0.243 N
0.209 0.209 0.749 N
0.364 0.081 0.243 N
0.636 0.919 0.757 N
0.919 0.636 0.757 N
0.333 0.667 0.000 Sr
0.667 0.333 0.000 Sr
0.500 0.500 0.500 La
0.161 0.839 0.500 La
0.839 0.161 0.500 La
0.000 0.000 0.000 Pa
```

Output
Symmetry = C2/m
Uncorrected formation energy = -1.297 eV/atom


Record 7
Computed, not measured: AlCu2SnAu4 after structural relaxation at the PBE level of DFT.

POSCAR file:
```
AlCu2SnAu4
1.0
4.521 0.000 0.000
2.260 3.915 0.000
2.260 1.305 7.702
Au Al Sn Cu
4 1 1 2
Direct
0.614 0.614 0.158 Au
0.132 0.132 0.605 Au
0.868 0.868 0.395 Au
0.386 0.386 0.842 Au
0.500 0.500 0.500 Al
0.000 0.000 0.000 Sn
0.249 0.249 0.252 Cu
0.751 0.751 0.748 Cu
```

Output
Symmetry = R-3m
Energy of formation = -0.130 eV per atom


Record 8
Computed, not measured: NdDyHo5 after structural relaxation at the PBE level of DFT.

POSCAR file:
```
NdDyHo5
1.0
-1.335 3.494 4.386
-4.461 -3.655 5.342
3.910 -1.955 6.534
Ho Dy Nd
5 1 1
Direct
0.253 0.747 0.747 Ho
0.500 0.821 0.179 Ho
0.000 0.500 0.500 Ho
0.747 0.253 0.253 Ho
0.500 0.179 0.821 Ho
0.500 0.500 0.500 Dy
0.000 0.000 0.000 Nd
```

Output
Symmetry = Immm
E above lowest polymorph = 922.0 meV/atom
Energy of formation = 1.118 eV per atom